Density functional theory data (PBE) for Li4Pr9Hg11 after structural relaxation.

Cell lengths 15.5056, 22.5225, 3.5565 Å; angles 90.00, 90.00, 90.00 degrees
Space group Cmmm (No. 65)
Asymmetric unit:
Li: 0.1443 0.1010 0.0000 x8
Pr: 0.0000 0.0000 0.0000 x2
Pr: 0.1112 0.2474 0.0000 x8
Pr: 0.1432 0.4246 0.0000 x8
Hg: 0.0000 0.1356 0.5000 x4
Hg: 0.0000 0.3468 0.5000 x4
Hg: 0.0000 0.5000 0.5000 x2
Hg: 0.1939 0.0000 0.5000 x4
Hg: 0.2479 0.3266 0.5000 x8

Results
As for the calculated total energy: -2.6156 eV/atom. The value obtained for the volume is 1242.0 Å³ per cell.

Density functional theory data (PBE) for Li5Pr4Hg6 after structural relaxation.

Cell lengths 4.8357, 22.3120, 14.0347 Å; angles 90.00, 90.00, 90.00 degrees
Space group Cmc2_1 (No. 36)
Asymmetric unit:
Li: 0.0000 0.0357 0.0000 x4
Li: 0.0000 0.1615 0.3267 x4
Li: 0.0000 0.1649 0.9612 x4
Li: 0.0000 0.1925 0.6308 x4
Li: 0.0000 0.3189 0.9941 x4
Pr: 0.0000 0.3193 0.3015 x4
Pr: 0.0000 0.3629 0.6438 x4
Pr: 0.0000 0.4518 0.8604 x4
Pr: 0.0000 0.4560 0.1354 x4
Hg: 0.0000 0.0500 0.2053 x4
Hg: 0.0000 0.0804 0.7925 x4
Hg: 0.0000 0.0985 0.5018 x4
Hg: 0.0000 0.2306 0.1292 x4
Hg: 0.0000 0.2721 0.8168 x4
Hg: 0.0000 0.4211 0.4474 x4

Results
As for the calculated total energy: -2.3543 eV/atom. The value obtained for the volume is 1514.3 Å³ per cell.

Density functional theory data (PBE) for Li3Pr2Hg2 after structural relaxation.

Cell lengths 10.8531, 4.7695, 7.0830 Å; angles 90.00, 111.61, 90.00 degrees
Space group C2/m (No. 12)
Asymmetric unit:
Li: 0.0000 0.0000 0.0000 x2
Li: 0.1213 0.0000 0.4306 x4
Pr: 0.1434 0.5000 0.7716 x4
Hg: 0.1483 0.5000 0.2266 x4

Results
As for the calculated total energy: -2.5523 eV/atom. The value obtained for the volume is 340.9 Å³ per cell.

Density functional theory data (PBE) for Li7PrHg4 after structural relaxation.

Cell lengths 13.4965, 5.0696, 9.2035 Å; angles 90.00, 128.46, 90.00 degrees
Space group C2/m (No. 12)
Asymmetric unit:
Li: 0.0000 0.0000 0.0000 x2
Li: 0.0489 0.5000 0.4013 x4
Li: 0.1760 0.0000 0.6203 x4
Li: 0.2171 0.5000 0.8670 x4
Pr: 0.0000 0.5000 0.0000 x2
Hg: 0.0694 0.0000 0.7841 x4
Hg: 0.2003 0.0000 0.3462 x4

Results
As for the calculated total energy: -1.7604 eV/atom. The value obtained for the volume is 493.1 Å³ per cell.

Question: Look up the calculated total energy of the second one.
Answer: -2.3543 eV/atom